# 1
Na2CrMo: relaxed, GGA-PBE.

Calculated values
ΔH_f (0 K) = 1.3627 eV per atom
ΔE to the lowest computed polymorph = 0.0 meV per atom

The structure in POSCAR format:
```
Na2CrMo
1.0
8.453 0.000 0.000
0.000 8.453 0.000
0.000 0.000 5.047
Na Cr Mo
8 4 4
direct
0.229 0.750 0.125
0.250 0.229 0.875
0.250 0.271 0.375
0.271 0.750 0.625
0.729 0.250 0.625
0.750 0.729 0.375
0.750 0.771 0.875
0.771 0.250 0.125
0.000 0.000 0.000
0.000 0.500 0.250
0.500 0.000 0.750
0.500 0.500 0.500
0.000 0.000 0.500
0.000 0.500 0.750
0.500 0.000 0.250
0.500 0.500 0.000
```

=====

# 2
NaCrMo2: relaxed, GGA-PBE.

Calculated values
ΔH_f (0 K) = 1.2516 eV per atom
ΔE to the lowest computed polymorph = 239.2 meV per atom

The structure in POSCAR format:
```
NaCrMo2
1.0
3.762 0.000 0.000
0.000 3.762 0.000
0.000 0.000 20.057
Na Cr Mo
4 4 8
direct
0.000 0.000 0.000
0.000 0.500 0.250
0.500 0.000 0.750
0.500 0.500 0.500
0.000 0.000 0.500
0.000 0.500 0.750
0.500 0.000 0.250
0.500 0.500 0.000
0.228 0.250 0.625
0.250 0.728 0.875
0.250 0.772 0.375
0.272 0.250 0.125
0.728 0.750 0.125
0.750 0.228 0.375
0.750 0.272 0.875
0.772 0.750 0.625
```

=====

# 3
NaCr2Mo: relaxed, GGA-PBE.

Calculated values
ΔH_f (0 K) = 1.5235 eV per atom
ΔE to the lowest computed polymorph = 637.5 meV per atom

The structure in POSCAR format:
```
NaCr2Mo
1.0
3.818 0.000 0.000
0.000 3.818 0.000
0.000 0.000 17.969
Na Cr Mo
4 8 4
direct
0.000 0.000 0.000
0.000 0.500 0.250
0.500 0.000 0.750
0.500 0.500 0.500
0.168 0.250 0.625
0.250 0.668 0.875
0.250 0.832 0.375
0.332 0.250 0.125
0.668 0.750 0.125
0.750 0.168 0.375
0.750 0.332 0.875
0.832 0.750 0.625
0.000 0.000 0.500
0.000 0.500 0.750
0.500 0.000 0.250
0.500 0.500 0.000
```

=====

| no. | DOS(E_F) (states/eV/atom) |
| --- | --- |
| 1 | 0.587 |
| 2 | 0.843 |
| 3 | 1.077 |